DFT (PBE with a Hubbard U) results for an optimized crystal structure of KV3O7.

Properties
The space group is C2/m. The energy is -7.276 eV per atom.

Cell: 8.457 8.457 12.353 Å, 52.74 52.74 25.94°
Sites, in units of the cell vectors:
O: 0.067 0.067 0.173
O: 0.318 0.318 0.775
V: 0.940 0.940 0.175
O: 0.168 0.168 0.664
V: 0.554 0.554 0.233
O: 0.472 0.472 0.163
K: 0.172 0.172 0.417
K: 0.828 0.828 0.583
V: 0.791 0.791 0.053
O: 0.832 0.832 0.336
V: 0.060 0.060 0.825
O: 0.699 0.699 0.997
O: 0.535 0.535 0.597
O: 0.682 0.682 0.225
O: 0.933 0.933 0.827
O: 0.465 0.465 0.403
O: 0.301 0.301 0.003
O: 0.528 0.528 0.837
V: 0.209 0.209 0.947
O: 0.897 0.897 0.075
V: 0.446 0.446 0.767
O: 0.103 0.103 0.925